## LaPr4Er3Se8 (GGA-PBE)

Data for a relaxed LaPr4Er3Se8 crystal.

abc: 8.3006 8.4623 8.3032
angles: 119.40 119.99 90.00
Fractional positions:
La1 0.0000 0.5000 0.0000
Pr1 0.5000 0.0000 0.0000
Pr2 0.5000 0.0000 0.5000
Pr3 0.0000 0.0000 0.0000
Pr4 0.0000 0.0000 0.5000
Er1 0.5000 0.5000 0.0000
Er2 0.5000 0.5000 0.5000
Er3 0.0000 0.5000 0.5000
Se1 0.2502 0.7351 0.9847
Se2 0.2503 0.7346 0.5006
Se3 0.2575 0.2719 0.5150
Se4 0.7345 0.7351 0.9847
Se5 0.2655 0.2649 0.0153
Se6 0.7425 0.7281 0.4850
Se7 0.7497 0.2654 0.4994
Se8 0.7498 0.2649 0.0153

Output
Symmetry: No. 166
VASP energy, eV/atom: -5.91